1.
DFT (PBE) results for an optimized crystal structure of MgSiW.

```
6
Lattice="2.851 0.000 0.000 0.000 6.857 2.549 0.000 -6.857 2.549" Properties=species:S:1:pos:R:3 pbc="T T T"
Mg 0.000 -4.390 2.549
Mg 0.000 4.390 2.549
Si 1.426 -1.935 2.473
Si 1.426 1.935 2.473
W 0.000 0.000 3.531
W 1.426 0.000 0.859
```

Energy ... -6.60 eV per atom
Mass density ... 7.872 g/cm3
Formation energy without anion corrections ... 0.0538 eV per atom

---

2.
DFT (PBE) results for an optimized crystal structure of AlAsHSe2.

```
5
Lattice="4.953 0.000 0.000 0.000 4.953 0.000 0.000 0.000 4.859" Properties=species:S:1:pos:R:3 pbc="T T T"
Al 0.000 0.000 0.000
As 0.000 0.000 2.430
H 2.476 2.476 2.430
Se 0.000 2.476 0.000
Se 2.476 0.000 0.000
```

Offset from the most stable computed form ... 305 meV/atom
Energy ... -3.03 eV per atom
Mass density ... 3.634 g/cm3

---

3.
DFT (PBE) results for an optimized crystal structure of K2DyPaO5.

```
9
Lattice="4.252 0.000 0.000 0.000 4.252 0.000 0.000 0.000 8.856" Properties=species:S:1:pos:R:3 pbc="T T T"
K 0.000 0.000 1.952
K 0.000 0.000 6.904
Dy 2.126 2.126 4.428
Pa 2.126 2.126 0.000
O 0.000 0.000 4.428
O 0.000 2.126 0.000
O 2.126 0.000 0.000
O 2.126 2.126 2.247
O 2.126 2.126 6.609
```

Energy ... -7.20 eV per atom
Mass density ... 5.722 g/cm3
Formation energy without anion corrections ... -2.6346 eV per atom

---

4.
DFT (PBE) results for an optimized crystal structure of CeHo2Co.

```
4
Lattice="1.747 1.009 10.218 -1.747 1.009 10.218 0.000 -2.018 10.218" Properties=species:S:1:pos:R:3 pbc="T T T"
Ce 0.000 0.000 0.000
Ho 0.000 0.000 3.430
Ho 0.000 0.000 27.223
Co 0.000 0.000 15.326
```

Offset from the most stable computed form ... 366 meV/atom
Energy ... -5.37 eV per atom
Mass density ... 8.128 g/cm3

---

5.
DFT (PBE) results for an optimized crystal structure of NaLiCu2Br6.

```
20
Lattice="6.676 -6.285 0.000 6.676 6.285 0.000 -1.577 0.000 6.825" Properties=species:S:1:pos:R:3 pbc="T T T"
Na 5.493 4.992 5.119
Na 6.282 -4.992 1.706
Li 6.282 3.109 1.706
Li 5.493 -3.109 5.119
Cu 2.904 1.022 4.956
Cu 3.693 -1.022 1.543
Cu 8.082 1.022 5.282
Cu 8.871 -1.022 1.870
Br 0.531 1.125 4.508
Br 3.675 2.915 6.187
Br 1.319 -1.125 1.095
Br 4.095 0.954 2.875
Br 7.312 2.915 4.051
Br 3.307 -0.954 6.288
Br 8.468 0.954 0.538
Br 4.463 -2.915 2.774
Br 7.679 -0.954 3.951
Br 10.456 1.125 5.730
Br 8.100 -2.915 0.638
Br 11.244 -1.125 2.317
```

Energy ... -2.87 eV per atom
Mass density ... 3.690 g/cm3
Formation energy without anion corrections ... -0.7241 eV per atom

---

6.
DFT (PBE) results for an optimized crystal structure of PuThZnPb.

```
4
Lattice="0.000 3.787 3.787 3.787 0.000 3.787 3.787 3.787 0.000" Properties=species:S:1:pos:R:3 pbc="T T T"
Pu 0.000 0.000 0.000
Th 3.787 3.787 3.787
Zn 5.680 5.680 5.680
Pb 1.893 1.893 1.893
```

Energy ... -6.75 eV per atom
Mass density ... 11.448 g/cm3

---

7.
DFT (PBE) results for an optimized crystal structure of Li5Mg2SnHg2.

```
20
Lattice="10.643 0.000 0.000 0.000 10.643 0.000 0.000 0.000 3.587" Properties=species:S:1:pos:R:3 pbc="T T T"
Li 0.000 5.322 0.000
Li 0.763 2.038 0.000
Li 2.038 9.880 0.000
Li 3.284 4.558 0.000
Li 4.558 7.360 0.000
Li 5.322 0.000 0.000
Li 6.085 3.284 0.000
Li 7.360 6.085 0.000
Li 8.605 0.763 0.000
Li 9.880 8.605 0.000
Mg 1.800 7.121 1.794
Mg 3.522 1.800 1.794
Mg 7.121 8.844 1.794
Mg 8.844 3.522 1.794
Sn 0.000 0.000 1.794
Sn 5.322 5.322 1.794
Hg 1.393 3.929 1.794
Hg 3.929 9.251 1.794
Hg 6.714 1.393 1.794
Hg 9.251 6.714 1.794
```

Energy ... -1.96 eV per atom
Mass density ... 4.930 g/cm3

---

8.
DFT (PBE) results for an optimized crystal structure of NaThHgBi.

```
4
Lattice="0.000 3.846 3.846 3.846 0.000 3.846 3.846 3.846 0.000" Properties=species:S:1:pos:R:3 pbc="T T T"
Na 0.000 0.000 0.000
Th 3.846 3.846 3.846
Hg 5.770 5.770 5.770
Bi 1.923 1.923 1.923
```

Energy ... -3.47 eV per atom
Mass density ... 9.696 g/cm3

---

9.
DFT (PBE) results for an optimized crystal structure of Rb2PmPaS4.

```
8
Lattice="7.153 0.000 0.000 0.000 4.107 0.000 -2.357 0.000 7.761" Properties=species:S:1:pos:R:3 pbc="T T T"
Rb 0.000 0.000 0.000
Rb 3.577 2.053 0.000
Pm -1.179 2.053 3.881
Pa 2.398 0.000 3.881
S 0.084 0.000 5.416
S 1.251 2.053 2.359
S 3.545 2.053 5.403
S 4.712 0.000 2.345
```

Energy ... -5.71 eV per atom
Mass density ... 4.918 g/cm3
Formation energy without anion corrections ... -1.6240 eV per atom

---

10.
DFT (PBE) results for an optimized crystal structure of BiSeN2O.

```
5
Lattice="4.333 0.000 0.000 0.000 4.333 0.000 0.000 0.000 4.073" Properties=species:S:1:pos:R:3 pbc="T T T"
Bi 0.000 0.000 0.000
Se 2.166 2.166 2.036
N 0.000 2.166 0.000
N 2.166 0.000 0.000
O 0.000 0.000 2.036
```

Energy ... -4.25 eV per atom
Mass density ... 7.210 g/cm3
Formation energy without anion corrections ... 1.5426 eV per atom

---

11.
DFT (PBE) results for an optimized crystal structure of Cs2BaMo.

```
4
Lattice="0.000 4.801 4.801 4.801 0.000 4.801 4.801 4.801 0.000" Properties=species:S:1:pos:R:3 pbc="T T T"
Cs 2.400 2.400 2.400
Cs 7.201 7.201 7.201
Ba 0.000 0.000 0.000
Mo 4.801 4.801 4.801
```

Energy ... -2.28 eV per atom
Mass density ... 3.745 g/cm3

---

12.
DFT (PBE) results for an optimized crystal structure of Ta3Bi2S6.

```
22
Lattice="5.764 0.000 0.000 -2.882 4.992 0.000 0.000 0.000 17.576" Properties=species:S:1:pos:R:3 pbc="T T T"
Ta -0.941 1.631 4.394
Ta -1.941 3.361 13.182
Ta 1.883 0.000 4.394
Ta 0.941 1.631 13.182
Ta 3.881 0.000 13.182
Ta 1.941 3.361 4.394
Bi 0.000 3.328 0.000
Bi 0.000 3.328 8.788
Bi 2.882 1.664 0.000
Bi 2.882 1.664 8.788
S 0.000 0.000 2.793
S 0.000 0.000 5.995
S 0.000 0.000 11.581
S 0.000 0.000 14.783
S 0.000 3.328 2.848
S 0.000 3.328 5.940
S 0.000 3.328 11.636
S 0.000 3.328 14.728
S 2.882 1.664 2.848
S 2.882 1.664 5.940
S 2.882 1.664 11.636
S 2.882 1.664 14.728
```

Energy ... -7.09 eV per atom
Mass density ... 7.573 g/cm3
Formation energy without anion corrections ... -0.8979 eV per atom

---

13.
DFT (PBE) results for an optimized crystal structure of LiTaBe2.

```
4
Lattice="-1.263 2.216 4.524 1.263 -2.216 4.524 1.263 2.216 -4.524" Properties=species:S:1:pos:R:3 pbc="T T T"
Li 0.000 0.000 0.000
Ta 1.263 0.000 2.678
Be 0.000 0.000 5.036
Be 0.000 2.216 2.316
```

Offset from the most stable computed form ... 138 meV/atom
Energy ... -5.03 eV per atom
Mass density ... 6.752 g/cm3

---

14.
DFT (PBE) results for an optimized crystal structure of Ce12H5Ir3.

```
80
Lattice="-7.571 7.571 7.571 7.571 -7.571 7.571 7.571 7.571 -7.571" Properties=species:S:1:pos:R:3 pbc="T T T"
Ce 2.294 -0.553 1.012
Ce 9.062 4.797 -4.339
Ce 7.018 -1.012 2.294
Ce 11.910 -1.491 2.774
Ce 9.865 0.553 1.012
Ce 9.062 -2.774 4.339
Ce 1.012 2.294 -0.553
Ce 10.345 3.232 -1.491
Ce 4.797 4.339 -1.491
Ce 6.559 2.294 0.553
Ce -0.553 1.012 2.294
Ce 4.339 -1.491 4.797
Ce 7.018 6.559 -2.294
Ce 4.339 1.491 2.774
Ce 6.559 -2.294 7.018
Ce 4.797 -4.339 9.062
Ce 2.774 4.339 1.491
Ce 8.583 5.276 0.553
Ce 2.294 7.018 -1.012
Ce 9.062 2.774 3.232
Ce 4.339 9.062 -2.774
Ce 7.018 1.012 5.276
Ce 1.491 2.774 4.339
Ce 2.294 0.553 6.559
Ce 5.276 7.018 1.012
Ce 6.080 4.797 3.232
Ce 0.553 6.559 2.294
Ce 3.232 -1.491 10.345
Ce -1.491 4.797 4.339
Ce 5.276 0.553 8.583
Ce -1.012 2.294 7.018
Ce 4.797 3.232 6.080
Ce 2.774 11.910 -1.491
Ce 1.012 9.865 0.553
Ce 3.232 6.080 4.797
Ce 0.553 1.012 9.865
Ce 3.232 9.062 2.774
Ce 8.124 6.559 5.276
Ce 1.012 5.276 7.018
Ce 2.774 3.232 9.062
Ce -2.774 4.339 9.062
Ce 6.559 5.276 8.124
Ce -1.491 10.345 3.232
Ce -2.294 7.018 6.559
Ce -4.339 9.062 4.797
Ce 0.553 8.583 5.276
Ce -1.491 2.774 11.910
Ce 5.276 8.124 6.559
H 0.000 0.000 0.000
H 3.785 3.785 -3.785
H 3.785 -3.785 3.785
H 7.571 0.000 0.000
H 11.356 1.893 0.000
H 7.571 -3.785 5.678
H 5.678 7.571 -3.785
H 5.678 0.000 3.785
H 3.785 5.678 0.000
H 7.571 3.785 1.893
H -3.785 3.785 3.785
H 0.000 7.571 0.000
H 0.000 0.000 7.571
H 3.785 3.785 3.785
H 0.000 3.785 5.678
H 3.785 1.893 7.571
H 1.893 7.571 3.785
H 1.893 0.000 11.356
H 0.000 11.356 1.893
H -3.785 5.678 7.571
Ir 3.785 1.893 0.000
Ir 7.571 3.785 -1.893
Ir 1.893 0.000 3.785
Ir 9.464 0.000 3.785
Ir 0.000 3.785 1.893
Ir 3.785 -1.893 7.571
Ir 3.785 9.464 0.000
Ir 7.571 3.785 5.678
Ir -1.893 7.571 3.785
Ir 5.678 7.571 3.785
Ir 0.000 3.785 9.464
Ir 3.785 5.678 7.571
```

Energy ... -6.05 eV per atom
Mass density ... 8.660 g/cm3

---

15.
DFT (PBE) results for an optimized crystal structure of LaYbCd2.

```
4
Lattice="0.000 3.866 3.866 3.866 0.000 3.866 3.866 3.866 0.000" Properties=species:S:1:pos:R:3 pbc="T T T"
La 0.000 0.000 0.000
Yb 3.866 3.866 3.866
Cd 1.933 1.933 1.933
Cd 5.800 5.800 5.800
```

Energy ... -2.46 eV per atom
Mass density ... 7.710 g/cm3

---

16.
DFT (PBE) results for an optimized crystal structure of La2Y2Hg.

```
5
Lattice="-2.182 2.182 9.265 2.182 -2.182 9.265 2.182 2.182 -9.265" Properties=species:S:1:pos:R:3 pbc="T T T"
La 0.000 0.000 1.605
La 0.000 0.000 16.924
Y 2.182 0.000 4.632
Y 0.000 2.182 4.632
Hg 0.000 0.000 9.265
```

Offset from the most stable computed form ... 391 meV/atom
Energy ... -4.42 eV per atom
Mass density ... 6.174 g/cm3

---

17.
DFT (PBE) results for an optimized crystal structure of SrFeAuSe2.

```
5
Lattice="5.187 0.000 0.000 0.000 5.187 0.000 0.000 0.000 5.637" Properties=species:S:1:pos:R:3 pbc="T T T"
Sr 0.000 0.000 0.000
Fe 2.594 2.594 0.000
Au 0.000 0.000 2.818
Se 0.000 2.594 2.818
Se 2.594 0.000 2.818
```

Energy ... -3.64 eV per atom
Mass density ... 5.456 g/cm3
Formation energy without anion corrections ... 0.4365 eV per atom

---

18.
DFT (PBE) results for an optimized crystal structure of RhAuCl4.

```
6
Lattice="0.000 4.058 4.058 4.058 0.000 4.058 4.058 4.058 0.000" Properties=species:S:1:pos:R:3 pbc="T T T"
Rh 0.000 0.000 0.000
Au 6.088 6.088 6.088
Cl 3.042 3.042 3.042
Cl 5.075 5.075 3.042
Cl 5.075 3.042 5.075
Cl 3.042 5.075 5.075
```

Offset from the most stable computed form ... 1572 meV/atom
Energy ... -1.90 eV per atom
Mass density ... 5.486 g/cm3
Formation energy without anion corrections ... 1.1075 eV per atom

---

19.
DFT (PBE) results for an optimized crystal structure of Ti2InMo.

```
8
Lattice="-1.969 1.969 9.740 1.969 -1.969 9.740 1.969 1.969 -9.740" Properties=species:S:1:pos:R:3 pbc="T T T"
Ti 2.953 0.925 -2.435
Ti 0.925 0.984 2.435
Ti -0.984 1.044 7.305
Ti 1.044 0.984 12.175
In 1.969 0.000 4.870
In 0.000 0.000 9.740
Mo 0.000 0.000 0.000
Mo 0.000 1.969 4.870
```

Energy ... -6.81 eV per atom
Mass density ... 6.740 g/cm3

---

20.
DFT (PBE) results for an optimized crystal structure of CaOs2W.

```
8
Lattice="-3.691 3.691 2.880 3.691 -3.691 2.880 3.691 3.691 -2.880" Properties=species:S:1:pos:R:3 pbc="T T T"
Ca 0.000 0.000 0.000
Ca 0.000 3.691 1.440
Os 1.845 -1.470 2.160
Os 2.221 1.845 0.720
Os 1.845 5.160 -0.720
Os 1.470 1.845 3.600
W 3.691 0.000 1.440
W 0.000 0.000 2.880
```

Offset from the most stable computed form ... 584 meV/atom
Energy ... -8.51 eV per atom
Mass density ... 12.791 g/cm3